Record 1
# BaMoOs2

A geometry-optimized BaMoOs2 structure (GGA-PBE, Alexandria).

Output
**Energy above the most stable polymorph in this dataset**: 0.000 eV per atom

Lattice parameters (Å, degrees): 4.388 4.388 6.592 70.60 70.60 60.01
Fractional positions:
Mo 0.306 0.306 0.081
Ba 0.496 0.496 0.511
Os 0.013 0.013 0.960
Os 0.684 0.684 0.948

=====

Record 2
# BaMoOs2

A geometry-optimized BaMoOs2 structure (GGA-PBE, Alexandria).

Output
**Energy above the most stable polymorph in this dataset**: 0.453 eV per atom

Lattice parameters (Å, degrees): 10.278 10.278 10.278 16.42 16.42 16.42
Fractional positions:
Os 0.014 0.014 0.014
Os 0.486 0.486 0.486
Ba 0.250 0.250 0.250
Mo 0.750 0.750 0.750

=====

Record 3
# BaMoOs

A geometry-optimized BaMoOs structure (GGA-PBE, Alexandria).

Output
**Energy above the most stable polymorph in this dataset**: 0.543 eV per atom

Lattice parameters (Å, degrees): 3.060 3.060 7.930 90.00 90.00 120.00
Fractional positions:
Os 0.333 0.667 0.623
Mo 0.667 0.333 0.383
Ba 0.000 0.000 0.993

=====

Record 4
# Ba3MoOs

A geometry-optimized Ba3MoOs structure (GGA-PBE, Alexandria).

Output
**Energy above the most stable polymorph in this dataset**: 0.000 eV per atom

Lattice parameters (Å, degrees): 5.950 5.950 5.950 90.00 90.00 90.00
Fractional positions:
Ba 0.000 0.500 0.000
Ba 0.000 0.000 0.500
Ba 0.500 0.000 0.000
Mo 0.500 0.500 0.500
Os 0.000 0.000 0.000

=====

Record 5
# Ba4MoOs

A geometry-optimized Ba4MoOs structure (GGA-PBE, Alexandria).

Lattice parameters (Å, degrees): 6.748 6.748 6.748 60.00 60.00 60.00
Fractional positions:
Ba 0.374 0.374 0.374
Ba 0.374 0.877 0.374
Ba 0.877 0.374 0.374
Os 0.000 0.000 0.000
Mo 0.750 0.750 0.750
Ba 0.374 0.374 0.877

=====

Record 6
# BaMo2Os

A geometry-optimized BaMo2Os structure (GGA-PBE, Alexandria).

Output
**Energy above the most stable polymorph in this dataset**: 0.676 eV per atom

Lattice parameters (Å, degrees): 3.232 5.112 4.661 90.00 90.00 90.00
Fractional positions:
Mo 0.000 0.000 0.000
Mo 0.500 0.500 0.000
Ba 0.000 0.500 0.500
Os 0.500 0.000 0.500

=====

Record 7
# BaMoOs2

A geometry-optimized BaMoOs2 structure (GGA-PBE, Alexandria).

Output
**Energy above the most stable polymorph in this dataset**: 0.624 eV per atom

Lattice parameters (Å, degrees): 6.072 6.072 6.072 152.56 127.49 60.25
Fractional positions:
Ba 0.503 0.503 0.000
Os 0.996 0.996 0.000
Mo 0.210 0.710 0.500
Os 0.792 0.292 0.500

=====

Record 8
# BaMo2Os

A geometry-optimized BaMo2Os structure (GGA-PBE, Alexandria).

Output
**Energy above the most stable polymorph in this dataset**: 0.915 eV per atom

Lattice parameters (Å, degrees): 5.163 3.923 3.923 90.00 90.00 90.00
Fractional positions:
Mo 0.000 0.000 0.000
Mo 0.000 0.500 0.500
Ba 0.500 0.000 0.500
Os 0.500 0.500 0.000

=====

Record 9
# BaMo2Os

A geometry-optimized BaMo2Os structure (GGA-PBE, Alexandria).

Output
**Energy above the most stable polymorph in this dataset**: 0.468 eV per atom

Lattice parameters (Å, degrees): 5.059 5.059 9.379 74.35 74.35 90.00
Fractional positions:
Mo 0.875 0.625 0.250
Os 0.750 0.250 0.500
Ba 0.250 0.750 0.500
Mo 0.375 0.125 0.750
Ba 0.500 0.500 0.000
Mo 0.875 0.125 0.750
Mo 0.875 0.125 0.250
Os 0.000 0.000 0.000

=====

Record 10
# BaMo2Os

A geometry-optimized BaMo2Os structure (GGA-PBE, Alexandria).

Output
**Energy above the most stable polymorph in this dataset**: 0.032 eV per atom

Lattice parameters (Å, degrees): 3.410 3.410 7.893 90.00 90.00 90.00
Fractional positions:
Mo 0.000 0.000 0.102
Os 0.500 0.500 0.250
Mo 0.000 0.000 0.398
Ba 0.500 0.500 0.750

=====

Record 11
# BaMo2POs

A geometry-optimized BaMo2POs structure (GGA-PBE, Alexandria).

Lattice parameters (Å, degrees): 5.057 4.981 5.057 90.00 90.00 90.00
Fractional positions:
Mo 0.500 0.000 0.000
Mo 0.000 0.000 0.500
Ba 0.000 0.000 0.000
P 0.500 0.500 0.500
Os 0.000 0.500 0.000

=====

Record 12
# Ba2ReMoOs

A geometry-optimized Ba2ReMoOs structure (GGA-PBE, Alexandria).

Lattice parameters (Å, degrees): 6.074 4.671 6.074 90.00 90.00 90.00
Fractional positions:
Os 0.500 0.500 0.500
Re 0.000 0.000 0.000
Ba 0.500 0.000 0.000
Ba 0.000 0.000 0.500
Mo 0.000 0.500 0.000

=====

Record 13
# BaTiMo2Os

A geometry-optimized BaTiMo2Os structure (GGA-PBE, Alexandria).

Lattice parameters (Å, degrees): 4.810 5.609 4.810 90.00 90.00 90.00
Fractional positions:
Mo 0.500 0.000 0.000
Os 0.000 0.000 0.000
Mo 0.000 0.000 0.500
Ba 0.000 0.500 0.000
Ti 0.500 0.500 0.500

=====

Record 14
# BaTl2MoOs

A geometry-optimized BaTl2MoOs structure (GGA-PBE, Alexandria).

Lattice parameters (Å, degrees): 5.357 5.357 5.743 90.00 90.00 90.00
Fractional positions:
Ba 0.000 0.000 0.500
Mo 0.500 0.500 0.500
Tl 0.000 0.500 0.000
Tl 0.500 0.000 0.000
Os 0.000 0.000 0.000

=====

Record 15
# Ba2YMoOs

A geometry-optimized Ba2YMoOs structure (GGA-PBE, Alexandria).

Lattice parameters (Å, degrees): 5.897 4.767 5.897 90.00 90.00 90.00
Fractional positions:
Y 0.500 0.500 0.500
Ba 0.500 0.000 0.000
Os 0.000 0.500 0.000
Mo 0.000 0.000 0.000
Ba 0.000 0.000 0.500

=====

Record 16
# BaMoP

A geometry-optimized BaMoP structure (GGA-PBE, Alexandria).

Output
**Energy above the most stable polymorph in this dataset**: 0.000 eV per atom

Lattice parameters (Å, degrees): 3.979 3.979 10.561 90.00 90.00 90.00
Fractional positions:
P 0.000 0.500 0.356
Mo 0.000 0.000 0.500
P 0.500 0.000 0.644
Ba 0.500 0.000 0.201
Ba 0.000 0.500 0.799
Mo 0.500 0.500 0.500

=====

Record 17
# BaMoP2

A geometry-optimized BaMoP2 structure (GGA-PBE, Alexandria).

Output
**Energy above the most stable polymorph in this dataset**: 0.237 eV per atom

Lattice parameters (Å, degrees): 7.674 7.674 7.674 155.06 152.94 37.12
Fractional positions:
P 0.764 0.264 0.500
Mo 0.202 0.702 0.500
Ba 0.451 0.451 0.000
P 0.083 0.083 0.000

=====

Record 18
# BaMoP2

A geometry-optimized BaMoP2 structure (GGA-PBE, Alexandria).

Output
**Energy above the most stable polymorph in this dataset**: 0.228 eV per atom

Lattice parameters (Å, degrees): 3.242 3.220 8.089 66.55 90.00 90.00
Fractional positions:
P 0.000 0.430 0.570
Mo 0.500 0.750 0.750
Ba 0.500 0.250 0.250
P 0.000 0.070 0.930

=====

Record 19
# BaMo3P

A geometry-optimized BaMo3P structure (GGA-PBE, Alexandria).

Output
**Energy above the most stable polymorph in this dataset**: 0.000 eV per atom

Lattice parameters (Å, degrees): 4.706 4.706 4.706 90.00 90.00 90.00
Fractional positions:
Mo 0.000 0.000 0.500
Ba 0.500 0.500 0.500
P 0.000 0.000 0.000
Mo 0.500 0.000 0.000
Mo 0.000 0.500 0.000

=====

Record 20
# BaMo2P

A geometry-optimized BaMo2P structure (GGA-PBE, Alexandria).

Lattice parameters (Å, degrees): 6.669 6.669 6.669 38.18 38.18 38.18
Fractional positions:
Ba 0.500 0.500 0.500
P 0.000 0.000 0.000
Mo 0.684 0.684 0.684
Mo 0.316 0.316 0.316

=====

Record 21
# BaMoP2

A geometry-optimized BaMoP2 structure (GGA-PBE, Alexandria).

Output
**Energy above the most stable polymorph in this dataset**: 0.151 eV per atom

Lattice parameters (Å, degrees): 3.758 3.758 7.417 75.37 75.37 59.93
Fractional positions:
Ba 0.750 0.750 0.750
P 0.522 0.522 0.434
P 0.978 0.978 0.066
Mo 0.250 0.250 0.250

=====

Record 22
# BaMo2P

A geometry-optimized BaMo2P structure (GGA-PBE, Alexandria).

Lattice parameters (Å, degrees): 3.253 3.253 7.860 90.00 90.00 90.00
Fractional positions:
Ba 0.500 0.500 0.500
P 0.500 0.500 0.000
Mo 0.000 0.000 0.848
Mo 0.000 0.000 0.152

=====

Record 23
# BaMoP

A geometry-optimized BaMoP structure (GGA-PBE, Alexandria).

Output
**Energy above the most stable polymorph in this dataset**: 0.475 eV per atom

Lattice parameters (Å, degrees): 4.133 4.133 5.253 90.00 90.00 120.00
Fractional positions:
P 0.333 0.667 0.000
Mo 0.667 0.333 0.000
Ba 0.000 0.000 0.500

=====

Record 24
# BaMoP2

A geometry-optimized BaMoP2 structure (GGA-PBE, Alexandria).

Output
**Energy above the most stable polymorph in this dataset**: 1.464 eV per atom

Lattice parameters (Å, degrees): 4.885 4.885 4.885 60.00 60.00 60.00
Fractional positions:
P 0.000 0.000 0.000
Ba 0.500 0.500 0.500
Mo 0.750 0.750 0.750
P 0.250 0.250 0.250

=====

Record 25
# BaMo2P

A geometry-optimized BaMo2P structure (GGA-PBE, Alexandria).

Lattice parameters (Å, degrees): 6.487 6.487 6.487 38.74 38.74 38.74
Fractional positions:
Mo 0.243 0.243 0.243
P 0.556 0.556 0.556
Ba 0.749 0.749 0.749
Mo 0.946 0.946 0.946

=====

Record 26
# Ba4MoP

A geometry-optimized Ba4MoP structure (GGA-PBE, Alexandria).

Lattice parameters (Å, degrees): 7.011 7.011 7.011 60.00 60.00 60.00
Fractional positions:
Ba 0.878 0.374 0.374
Ba 0.374 0.374 0.374
Ba 0.374 0.374 0.878
P 0.000 0.000 0.000
Ba 0.374 0.878 0.374
Mo 0.750 0.750 0.750

=====

Record 27
# BaMo2P

A geometry-optimized BaMo2P structure (GGA-PBE, Alexandria).

Lattice parameters (Å, degrees): 4.838 4.838 4.838 60.00 60.00 60.00
Fractional positions:
Mo 0.000 0.000 0.000
P 0.500 0.500 0.500
Ba 0.250 0.250 0.250
Mo 0.750 0.750 0.750

=====

Record 28
# BaMoP

A geometry-optimized BaMoP structure (GGA-PBE, Alexandria).

Output
**Energy above the most stable polymorph in this dataset**: 0.521 eV per atom

Lattice parameters (Å, degrees): 6.486 6.486 6.486 149.93 149.93 43.05
Fractional positions:
Mo 0.718 0.718 0.000
P 0.279 0.279 0.000
Ba 0.003 0.003 0.000

=====

Record 29
# BaMo2P

A geometry-optimized BaMo2P structure (GGA-PBE, Alexandria).

Lattice parameters (Å, degrees): 3.549 4.675 4.842 90.00 90.00 90.00
Fractional positions:
Ba 0.000 0.500 0.500
Mo 0.500 0.000 0.500
Mo 0.000 0.000 0.000
P 0.500 0.500 0.000

=====

Record 30
# BaMoP2

A geometry-optimized BaMoP2 structure (GGA-PBE, Alexandria).

Output
**Energy above the most stable polymorph in this dataset**: 0.000 eV per atom

Lattice parameters (Å, degrees): 3.698 3.698 7.192 90.00 90.00 60.04
Fractional positions:
Mo 0.208 0.208 0.000
Ba 0.541 0.541 0.500
P 0.875 0.875 0.816
P 0.875 0.875 0.184

=====

| no. | spin magnetization (μB per cell) | energy of formation (meV/atom) | volume (Å³/atom) |
| --- | --- | --- | --- |
| 1 | 0.000 | 498 | 25.4 |
| 2 | 0.000 | 951 | 18.9 |
| 3 | 0.000 | 1160 | 21.4 |
| 4 | 4.842 | 1201 | 42.1 |
| 5 | 4.825 | 1779 | 36.2 |
| 6 | 0.000 | 1398 | 19.3 |
| 7 | 0.000 | 1122 | 20.3 |
| 8 | 0.000 | 1637 | 19.9 |
| 9 | 0.000 | 1190 | 27.7 |
| 10 | 0.000 | 754 | 23.0 |
| 11 | 3.963 | 3526 | 25.5 |
| 12 | 3.466 | 1992 | 34.5 |
| 13 | 0.001 | 1717 | 26.0 |
| 14 | 5.331 | 1211 | 33.0 |
| 15 | 0.000 | 1124 | 33.2 |
| 16 | 0.001 | -607 | 27.9 |
| 17 | 0.000 | -364 | 21.6 |
| 18 | 0.000 | -373 | 19.4 |
| 19 | 0.000 | 803 | 20.8 |
| 20 | 0.000 | 67 | 25.4 |
| 21 | 0.000 | -450 | 21.7 |
| 22 | 0.000 | 409 | 20.8 |
| 23 | 0.000 | -132 | 25.9 |
| 24 | 1.808 | 863 | 20.6 |
| 25 | 0.002 | 32 | 24.0 |
| 26 | 3.312 | 1083 | 40.6 |
| 27 | 0.002 | 961 | 20.0 |
| 28 | 0.000 | -86 | 22.8 |
| 29 | 0.623 | 1119 | 20.1 |
| 30 | 0.000 | -601 | 21.3 |